[1]
# NiBi2N SCAN single point on PBEsol structure
data_NiBi2N
_chemical_formula_sum 'Ni4 Bi8 N4'
_cell_length_a 5.651
_cell_length_b 5.651
_cell_length_c 10.735
_cell_angle_alpha 90.00
_cell_angle_beta 90.00
_cell_angle_gamma 90.00
_symmetry_space_group_name_H-M 'I -4 2 d'
_symmetry_Int_Tables_number 122
_symmetry_space_group_name_Hall 'I -4 2bw'
loop_
_atom_site_label
_atom_site_fract_x
_atom_site_fract_y
_atom_site_fract_z
Ni1 0.000 0.000 0.000
Bi1 0.225 0.250 0.625
N1 0.000 0.000 0.500
# - ΔE_f (raw) (meV per atom) = 642
# - D(E_F) (states/eV per atom) = 0.437
# - crystal system = tetragonal
# - size of the total moment (μB/cell) = 0.0
# - energy (eV per atom) = -45.01

[2]
# NiBiSeN2 SCAN single point on PBEsol structure
data_NiBiSeN2
_chemical_formula_sum 'Ni1 Bi1 Se1 N2'
_cell_length_a 3.935
_cell_length_b 3.935
_cell_length_c 4.755
_cell_angle_alpha 90.00
_cell_angle_beta 90.00
_cell_angle_gamma 90.00
_symmetry_space_group_name_H-M 'P 4/m m m'
_symmetry_Int_Tables_number 123
_symmetry_space_group_name_Hall '-P 4 2'
loop_
_atom_site_label
_atom_site_fract_x
_atom_site_fract_y
_atom_site_fract_z
Ni1 0.000 0.000 0.000
Bi1 0.500 0.500 0.500
Se1 0.000 0.000 0.500
N1 0.000 0.500 0.000
# - ΔE_f (raw) (meV per atom) = 1074
# - D(E_F) (states/eV per atom) = 0.401
# - crystal system = tetragonal
# - size of the total moment (μB/cell) = 2.7
# - energy (eV per atom) = -25.61

[3]
# NiBiTeN2 SCAN single point on PBEsol structure
data_NiBiTeN2
_chemical_formula_sum 'Ni1 Bi1 Te1 N2'
_cell_length_a 4.178
_cell_length_b 4.178
_cell_length_c 6.248
_cell_angle_alpha 90.00
_cell_angle_beta 90.00
_cell_angle_gamma 90.00
_symmetry_space_group_name_H-M 'P 4/m m m'
_symmetry_Int_Tables_number 123
_symmetry_space_group_name_Hall '-P 4 2'
loop_
_atom_site_label
_atom_site_fract_x
_atom_site_fract_y
_atom_site_fract_z
Ni1 0.000 0.000 0.000
Bi1 0.500 0.500 0.500
Te1 0.500 0.500 0.000
N1 0.000 0.500 0.500
# - ΔE_f (raw) (meV per atom) = 1830
# - D(E_F) (states/eV per atom) = 0.837
# - crystal system = tetragonal
# - size of the total moment (μB/cell) = 3.5
# - energy (eV per atom) = -28.29

[4]
# BiPbN2O SCAN single point on PBEsol structure
data_BiPbN2O
_chemical_formula_sum 'Bi1 Pb1 N2 O1'
_cell_length_a 4.229
_cell_length_b 4.229
_cell_length_c 4.199
_cell_angle_alpha 90.00
_cell_angle_beta 90.00
_cell_angle_gamma 90.00
_symmetry_space_group_name_H-M 'P 4/m m m'
_symmetry_Int_Tables_number 123
_symmetry_space_group_name_Hall '-P 4 2'
loop_
_atom_site_label
_atom_site_fract_x
_atom_site_fract_y
_atom_site_fract_z
Bi1 0.000 0.000 0.000
Pb1 0.500 0.500 0.500
N1 0.000 0.500 0.500
O1 0.500 0.500 0.000
# - ΔE_f (raw) (meV per atom) = 1097
# - D(E_F) (states/eV per atom) = 0.478
# - crystal system = tetragonal
# - size of the total moment (μB/cell) = 0.0
# - energy (eV per atom) = -34.74

[5]
# BiRhNO2 SCAN single point on PBEsol structure
data_BiRhNO2
_chemical_formula_sum 'Bi1 Rh1 N1 O2'
_cell_length_a 4.156
_cell_length_b 4.156
_cell_length_c 4.242
_cell_angle_alpha 90.00
_cell_angle_beta 90.00
_cell_angle_gamma 90.00
_symmetry_space_group_name_H-M 'P 4/m m m'
_symmetry_Int_Tables_number 123
_symmetry_space_group_name_Hall '-P 4 2'
loop_
_atom_site_label
_atom_site_fract_x
_atom_site_fract_y
_atom_site_fract_z
Bi1 0.000 0.000 0.000
Rh1 0.500 0.500 0.500
N1 0.000 0.000 0.500
O1 0.000 0.500 0.000
# - ΔE_f (raw) (meV per atom) = 917
# - D(E_F) (states/eV per atom) = 0.465
# - crystal system = tetragonal
# - size of the total moment (μB/cell) = 3.3
# - energy (eV per atom) = -25.90

[6]
# BiSNO2 SCAN single point on PBEsol structure
data_BiSNO2
_chemical_formula_sum 'Bi1 S1 N1 O2'
_cell_length_a 4.081
_cell_length_b 4.081
_cell_length_c 4.490
_cell_angle_alpha 90.00
_cell_angle_beta 90.00
_cell_angle_gamma 90.00
_symmetry_space_group_name_H-M 'P 4/m m m'
_symmetry_Int_Tables_number 123
_symmetry_space_group_name_Hall '-P 4 2'
loop_
_atom_site_label
_atom_site_fract_x
_atom_site_fract_y
_atom_site_fract_z
Bi1 0.000 0.000 0.000
S1 0.500 0.500 0.500
N1 0.000 0.000 0.500
O1 0.000 0.500 0.000
# - ΔE_f (raw) (meV per atom) = 1028
# - D(E_F) (states/eV per atom) = 0.354
# - crystal system = tetragonal
# - size of the total moment (μB/cell) = 0.4
# - energy (eV per atom) = -20.96

[7]
# BiTeN2O SCAN single point on PBEsol structure
data_BiTeN2O
_chemical_formula_sum 'Bi1 Te1 N2 O1'
_cell_length_a 4.309
_cell_length_b 4.309
_cell_length_c 4.099
_cell_angle_alpha 90.00
_cell_angle_beta 90.00
_cell_angle_gamma 90.00
_symmetry_space_group_name_H-M 'P 4/m m m'
_symmetry_Int_Tables_number 123
_symmetry_space_group_name_Hall '-P 4 2'
loop_
_atom_site_label
_atom_site_fract_x
_atom_site_fract_y
_atom_site_fract_z
Bi1 0.000 0.000 0.000
Te1 0.500 0.500 0.500
N1 0.000 0.500 0.000
O1 0.000 0.000 0.500
# - ΔE_f (raw) (meV per atom) = 1288
# - D(E_F) (states/eV per atom) = 0.460
# - crystal system = tetragonal
# - size of the total moment (μB/cell) = 0.0
# - energy (eV per atom) = -26.84

[8]
# TlBiN2O SCAN single point on PBEsol structure
data_TlBiN2O
_chemical_formula_sum 'Tl1 Bi1 N2 O1'
_cell_length_a 4.422
_cell_length_b 4.422
_cell_length_c 4.258
_cell_angle_alpha 90.00
_cell_angle_beta 90.00
_cell_angle_gamma 90.00
_symmetry_space_group_name_H-M 'P 4/m m m'
_symmetry_Int_Tables_number 123
_symmetry_space_group_name_Hall '-P 4 2'
loop_
_atom_site_label
_atom_site_fract_x
_atom_site_fract_y
_atom_site_fract_z
Tl1 0.000 0.000 0.000
Bi1 0.500 0.500 0.500
N1 0.000 0.500 0.500
O1 0.500 0.500 0.000
# - ΔE_f (raw) (meV per atom) = 1023
# - D(E_F) (states/eV per atom) = 0.409
# - crystal system = tetragonal
# - size of the total moment (μB/cell) = 2.4
# - energy (eV per atom) = -34.13

[9]
# YBiNO2 SCAN single point on PBEsol structure
data_YBiNO2
_chemical_formula_sum 'Y1 Bi1 N1 O2'
_cell_length_a 4.247
_cell_length_b 4.247
_cell_length_c 4.341
_cell_angle_alpha 90.00
_cell_angle_beta 90.00
_cell_angle_gamma 90.00
_symmetry_space_group_name_H-M 'P 4/m m m'
_symmetry_Int_Tables_number 123
_symmetry_space_group_name_Hall '-P 4 2'
loop_
_atom_site_label
_atom_site_fract_x
_atom_site_fract_y
_atom_site_fract_z
Y1 0.000 0.000 0.000
Bi1 0.500 0.500 0.500
N1 0.500 0.500 0.000
O1 0.000 0.500 0.500
# - ΔE_f (raw) (meV per atom) = -792
# - D(E_F) (states/eV per atom) = 0.161
# - crystal system = tetragonal
# - size of the total moment (μB/cell) = 0.0
# - energy (eV per atom) = -26.43

[10]
# ZrBiNO2 SCAN single point on PBEsol structure
data_ZrBiNO2
_chemical_formula_sum 'Zr1 Bi1 N1 O2'
_cell_length_a 4.192
_cell_length_b 4.192
_cell_length_c 4.319
_cell_angle_alpha 90.00
_cell_angle_beta 90.00
_cell_angle_gamma 90.00
_symmetry_space_group_name_H-M 'P 4/m m m'
_symmetry_Int_Tables_number 123
_symmetry_space_group_name_Hall '-P 4 2'
loop_
_atom_site_label
_atom_site_fract_x
_atom_site_fract_y
_atom_site_fract_z
Zr1 0.000 0.000 0.000
Bi1 0.500 0.500 0.500
N1 0.500 0.500 0.000
O1 0.000 0.500 0.500
# - ΔE_f (raw) (meV per atom) = -42
# - D(E_F) (states/eV per atom) = 0.428
# - crystal system = tetragonal
# - size of the total moment (μB/cell) = 1.3
# - energy (eV per atom) = -26.25

[11]
# BiOs3N SCAN single point on PBEsol structure
data_BiOs3N
_chemical_formula_sum 'Bi1 Os3 N1'
_cell_length_a 5.003
_cell_length_b 5.003
_cell_length_c 5.003
_cell_angle_alpha 90.00
_cell_angle_beta 90.00
_cell_angle_gamma 90.00
_symmetry_space_group_name_H-M 'P m -3 m'
_symmetry_Int_Tables_number 221
_symmetry_space_group_name_Hall '-P 4 2 3'
loop_
_atom_site_label
_atom_site_fract_x
_atom_site_fract_y
_atom_site_fract_z
Bi1 0.000 0.000 0.000
Os1 0.000 0.000 0.500
N1 0.500 0.500 0.500
# - ΔE_f (raw) (meV per atom) = 4247
# - D(E_F) (states/eV per atom) = 0.772
# - crystal system = cubic
# - size of the total moment (μB/cell) = 5.3
# - energy (eV per atom) = -56.45

[12]
# BiP2N SCAN single point on PBEsol structure
data_BiP2N
_chemical_formula_sum 'Bi4 P8 N4'
_cell_length_a 4.873
_cell_length_b 4.873
_cell_length_c 11.608
_cell_angle_alpha 90.00
_cell_angle_beta 90.00
_cell_angle_gamma 90.00
_symmetry_space_group_name_H-M 'I 41/a m d'
_symmetry_Int_Tables_number 141
loop_
_symmetry_equiv_pos_as_xyz
'x,y,z'
'-x,-y,-z'
'-y+1/4,x+3/4,z+1/4'
'y+1/4,-x+3/4,-z+1/4'
'-x+1/2,-y,z+1/2'
'x+1/2,y,-z+1/2'
'y+1/4,-x+1/4,z+3/4'
'-y+1/4,x+1/4,-z+3/4'
'x,-y,-z'
'-x,y,z'
'-y+1/4,-x+1/4,-z+3/4'
'y+1/4,x+1/4,z+3/4'
'-x+1/2,y,-z+1/2'
'x+1/2,-y,z+1/2'
'y+1/4,x+3/4,-z+1/4'
'-y+1/4,-x+3/4,z+1/4'
'x+1/2,y+1/2,z+1/2'
'-x+1/2,-y+1/2,-z+1/2'
'-y+3/4,x+1/4,z+3/4'
'y+3/4,-x+1/4,-z+3/4'
'-x,-y+1/2,z'
'x,y+1/2,-z'
'y+3/4,-x+3/4,z+1/4'
'-y+3/4,x+3/4,-z+1/4'
'x+1/2,-y+1/2,-z+1/2'
'-x+1/2,y+1/2,z+1/2'
'-y+3/4,-x+3/4,-z+1/4'
'y+3/4,x+3/4,z+1/4'
'-x,y+1/2,-z'
'x,-y+1/2,z'
'y+3/4,x+1/4,-z+3/4'
'-y+3/4,-x+1/4,z+3/4'
loop_
_atom_site_label
_atom_site_fract_x
_atom_site_fract_y
_atom_site_fract_z
Bi1 0.000 0.250 0.375
P1 0.000 0.000 0.000
N1 0.000 0.250 0.875
# - ΔE_f (raw) (meV per atom) = 799
# - D(E_F) (states/eV per atom) = 0.572
# - crystal system = tetragonal
# - size of the total moment (μB/cell) = 0.0
# - energy (eV per atom) = -26.37

[13]
# BiPPbN2 SCAN single point on PBEsol structure
data_BiPPbN2
_chemical_formula_sum 'Bi1 P1 Pb1 N2'
_cell_length_a 4.347
_cell_length_b 4.347
_cell_length_c 5.289
_cell_angle_alpha 90.00
_cell_angle_beta 90.00
_cell_angle_gamma 90.00
_symmetry_space_group_name_H-M 'P 4/m m m'
_symmetry_Int_Tables_number 123
_symmetry_space_group_name_Hall '-P 4 2'
loop_
_atom_site_label
_atom_site_fract_x
_atom_site_fract_y
_atom_site_fract_z
Bi1 0.000 0.000 0.000
P1 0.000 0.000 0.500
Pb1 0.500 0.500 0.500
N1 0.000 0.500 0.000
# - ΔE_f (raw) (meV per atom) = 1555
# - D(E_F) (states/eV per atom) = 0.614
# - crystal system = tetragonal
# - size of the total moment (μB/cell) = 2.1
# - energy (eV per atom) = -35.11

[14]
# BiPSN2 SCAN single point on PBEsol structure
data_BiPSN2
_chemical_formula_sum 'Bi1 P1 S1 N2'
_cell_length_a 3.746
_cell_length_b 3.746
_cell_length_c 4.534
_cell_angle_alpha 90.00
_cell_angle_beta 90.00
_cell_angle_gamma 90.00
_symmetry_space_group_name_H-M 'P 4/m m m'
_symmetry_Int_Tables_number 123
_symmetry_space_group_name_Hall '-P 4 2'
loop_
_atom_site_label
_atom_site_fract_x
_atom_site_fract_y
_atom_site_fract_z
Bi1 0.000 0.000 0.000
P1 0.500 0.500 0.500
S1 0.500 0.500 0.000
N1 0.000 0.500 0.500
# - ΔE_f (raw) (meV per atom) = 900
# - D(E_F) (states/eV per atom) = 0.345
# - crystal system = tetragonal
# - size of the total moment (μB/cell) = 0.0
# - energy (eV per atom) = -22.54

[15]
# Bi3PbN SCAN single point on PBEsol structure
data_Bi3PbN
_chemical_formula_sum 'Bi3 Pb1 N1'
_cell_length_a 4.989
_cell_length_b 4.989
_cell_length_c 4.989
_cell_angle_alpha 90.00
_cell_angle_beta 90.00
_cell_angle_gamma 90.00
_symmetry_space_group_name_H-M 'P m -3 m'
_symmetry_Int_Tables_number 221
_symmetry_space_group_name_Hall '-P 4 2 3'
loop_
_atom_site_label
_atom_site_fract_x
_atom_site_fract_y
_atom_site_fract_z
Bi1 0.000 0.000 0.500
Pb1 0.500 0.500 0.500
N1 0.000 0.000 0.000
# - ΔE_f (raw) (meV per atom) = 598
# - D(E_F) (states/eV per atom) = 0.719
# - crystal system = cubic
# - size of the total moment (μB/cell) = 0.0
# - energy (eV per atom) = -63.56

[16]
# Bi2RhPbN SCAN single point on PBEsol structure
data_Bi2RhPbN
_chemical_formula_sum 'Bi2 Rh1 Pb1 N1'
_cell_length_a 5.430
_cell_length_b 5.430
_cell_length_c 3.739
_cell_angle_alpha 90.00
_cell_angle_beta 90.00
_cell_angle_gamma 90.00
_symmetry_space_group_name_H-M 'P 4/m m m'
_symmetry_Int_Tables_number 123
_symmetry_space_group_name_Hall '-P 4 2'
loop_
_atom_site_label
_atom_site_fract_x
_atom_site_fract_y
_atom_site_fract_z
Bi1 0.000 0.500 0.000
Rh1 0.000 0.000 0.500
Pb1 0.500 0.500 0.500
N1 0.000 0.000 0.000
# - ΔE_f (raw) (meV per atom) = 439
# - D(E_F) (states/eV per atom) = 0.642
# - crystal system = tetragonal
# - size of the total moment (μB/cell) = 0.0
# - energy (eV per atom) = -54.76

[17]
# BiPdN2 SCAN single point on PBEsol structure
data_BiPdN2
_chemical_formula_sum 'Bi3 Pd3 N6'
_cell_length_a 3.3887
_cell_length_b 3.3887
_cell_length_c 18.8375
_cell_angle_alpha 90.00
_cell_angle_beta 90.00
_cell_angle_gamma 120.00
_symmetry_space_group_name_H-M 'R -3 m'
_symmetry_Int_Tables_number 166
_symmetry_space_group_name_Hall '-R 3 2"'
loop_
_atom_site_label
_atom_site_fract_x
_atom_site_fract_y
_atom_site_fract_z
Bi1 0.0000 0.0000 0.0000
Pd1 0.0000 0.0000 0.5000
N1 0.0000 0.0000 0.3976
# - ΔE_f (raw) (meV per atom) = 983
# - D(E_F) (states/eV per atom) = 0.499
# - crystal system = trigonal
# - size of the total moment (μB/cell) = 0.0
# - energy (eV per atom) = -31.50

[18]
# BiPdN3 SCAN single point on PBEsol structure
data_BiPdN3
_chemical_formula_sum 'Bi1 Pd1 N3'
_cell_length_a 4.277
_cell_length_b 4.277
_cell_length_c 4.277
_cell_angle_alpha 90.00
_cell_angle_beta 90.00
_cell_angle_gamma 90.00
_symmetry_space_group_name_H-M 'P m -3 m'
_symmetry_Int_Tables_number 221
_symmetry_space_group_name_Hall '-P 4 2 3'
loop_
_atom_site_label
_atom_site_fract_x
_atom_site_fract_y
_atom_site_fract_z
Bi1 0.000 0.000 0.000
Pd1 0.500 0.500 0.500
N1 0.000 0.000 0.500
# - ΔE_f (raw) (meV per atom) = 2375
# - D(E_F) (states/eV per atom) = 0.660
# - crystal system = cubic
# - size of the total moment (μB/cell) = 4.3
# - energy (eV per atom) = -25.47

[19]
# RbBiPdN2 SCAN single point on PBEsol structure
data_RbBiPdN2
_chemical_formula_sum 'Rb1 Bi1 Pd1 N2'
_cell_length_a 4.480
_cell_length_b 4.480
_cell_length_c 5.124
_cell_angle_alpha 90.00
_cell_angle_beta 90.00
_cell_angle_gamma 90.00
_symmetry_space_group_name_H-M 'P 4/m m m'
_symmetry_Int_Tables_number 123
_symmetry_space_group_name_Hall '-P 4 2'
loop_
_atom_site_label
_atom_site_fract_x
_atom_site_fract_y
_atom_site_fract_z
Rb1 0.000 0.000 0.000
Bi1 0.500 0.500 0.500
Pd1 0.000 0.000 0.500
N1 0.000 0.500 0.000
# - ΔE_f (raw) (meV per atom) = 2401
# - D(E_F) (states/eV per atom) = 0.536
# - crystal system = tetragonal
# - size of the total moment (μB/cell) = 4.0
# - energy (eV per atom) = -27.73

[20]
# BiPdSN2 SCAN single point on PBEsol structure
data_BiPdSN2
_chemical_formula_sum 'Bi1 Pd1 S1 N2'
_cell_length_a 4.006
_cell_length_b 4.006
_cell_length_c 4.786
_cell_angle_alpha 90.00
_cell_angle_beta 90.00
_cell_angle_gamma 90.00
_symmetry_space_group_name_H-M 'P 4/m m m'
_symmetry_Int_Tables_number 123
_symmetry_space_group_name_Hall '-P 4 2'
loop_
_atom_site_label
_atom_site_fract_x
_atom_site_fract_y
_atom_site_fract_z
Bi1 0.000 0.000 0.000
Pd1 0.500 0.500 0.500
S1 0.500 0.500 0.000
N1 0.000 0.500 0.500
# - ΔE_f (raw) (meV per atom) = 1138
# - D(E_F) (states/eV per atom) = 0.341
# - crystal system = tetragonal
# - size of the total moment (μB/cell) = 2.2
# - energy (eV per atom) = -26.77